--- 1 ---
Material: SrY3Zn
Method: DFT, PBE
State: relaxed

Geometry as extended XYZ:
```
5
Lattice="5.610 0.000 0.000 0.000 5.610 0.000 0.000 0.000 5.610" Properties=species:S:1:pos:R:3 pbc="T T T"
Sr 0.000 0.000 0.000
Y 0.000 2.805 2.805
Y 2.805 0.000 2.805
Y 2.805 2.805 0.000
Zn 2.805 2.805 2.805
```

Properties
Total moment in μB/f.u.: 0.0

--- 2 ---
Material: SrY3Zn
Method: DFT, PBE
State: relaxed

Geometry as extended XYZ:
```
5
Lattice="5.676 0.000 0.000 0.000 5.676 0.000 0.000 0.000 5.676" Properties=species:S:1:pos:R:3 pbc="T T T"
Sr 0.000 0.000 0.000
Y 0.000 0.000 2.838
Y 0.000 2.838 0.000
Y 2.838 0.000 0.000
Zn 2.838 2.838 2.838
```

Properties
Total moment in μB/f.u.: 0.0

Which of them is least stable? Easy: 2.